[1]
## HOsRu3 (meta-GGA SCAN)

Data for HOsRu3 at its PBEsol-relaxed geometry.

a = 4.632 Å, b = 4.632 Å, c = 4.632 Å
α = 90.00°, β = 90.00°, γ = 90.00°
Element x y z (fractional)
H1 0.000 0.000 0.000
Os1 0.500 0.500 0.500
Ru1 0.000 0.500 0.500
Ru2 0.500 0.000 0.500
Ru3 0.500 0.500 0.000

Its symmetry is No. 221. The calculation puts the total energy at -33.605 eV per atom. The calculation puts the total magnetization at 4.220 μB/cell.

***

[2]
## HOsS3 (meta-GGA SCAN)

Data for HOsS3 at its PBEsol-relaxed geometry.

a = 4.579 Å, b = 4.579 Å, c = 4.579 Å
α = 90.00°, β = 90.00°, γ = 90.00°
Element x y z (fractional)
H1 0.000 0.000 0.000
Os1 0.500 0.500 0.500
S1 0.000 0.500 0.500
S2 0.500 0.000 0.500
S3 0.500 0.500 0.000

Its symmetry is No. 221. The calculation puts the total energy at -19.818 eV per atom. The calculation puts the total magnetization at 0.682 μB/cell.

***

[3]
## SbH2Os (meta-GGA SCAN)

Data for SbH2Os at its PBEsol-relaxed geometry.

a = 3.927 Å, b = 3.927 Å, c = 3.927 Å
α = 60.00°, β = 60.00°, γ = 60.00°
Element x y z (fractional)
Sb1 0.000 0.000 0.000
H1 0.250 0.250 0.250
H2 0.750 0.750 0.750
Os1 0.500 0.500 0.500

Its symmetry is No. 225. The calculation puts the total energy at -27.687 eV per atom. The calculation puts the total magnetization at 0.000 μB/cell.

***

[4]
## Sc2H2Os (meta-GGA SCAN)

Data for Sc2H2Os at its PBEsol-relaxed geometry.

a = 6.212 Å, b = 6.212 Å, c = 6.212 Å
α = 150.40°, β = 150.40°, γ = 42.35°
Element x y z (fractional)
Sc1 0.138 0.138 0.000
Sc2 0.862 0.862 0.000
H1 0.250 0.750 0.500
H2 0.750 0.250 0.500
Os1 0.500 0.500 0.000

Its symmetry is No. 139. The calculation puts the total energy at -22.085 eV per atom. The calculation puts the total magnetization at 0.001 μB/cell.

***

[5]
## Sc3HOs (meta-GGA SCAN)

Data for Sc3HOs at its PBEsol-relaxed geometry.

a = 4.235 Å, b = 4.235 Å, c = 4.235 Å
α = 90.00°, β = 90.00°, γ = 90.00°
Element x y z (fractional)
Sc1 0.000 0.000 0.500
Sc2 0.000 0.500 0.000
Sc3 0.500 0.000 0.000
H1 0.000 0.000 0.000
Os1 0.500 0.500 0.500

Its symmetry is No. 221. The calculation puts the total energy at -23.854 eV per atom. The calculation puts the total magnetization at 0.007 μB/cell.

***

[6]
## SrH3Os (meta-GGA SCAN)

Data for SrH3Os at its PBEsol-relaxed geometry.

a = 4.075 Å, b = 4.075 Å, c = 4.075 Å
α = 90.00°, β = 90.00°, γ = 90.00°
Element x y z (fractional)
Sr1 0.000 0.000 0.000
H1 0.000 0.000 0.500
H2 0.000 0.500 0.000
H3 0.500 0.000 0.000
Os1 0.500 0.500 0.500

Its symmetry is No. 221. The calculation puts the total energy at -19.321 eV per atom. The calculation puts the total magnetization at 2.973 μB/cell.